# 1
## Te2PbAu (SCAN)

Data for a crystal of Te2PbAu relaxed with PBEsol.

Unit cell a=4.3567 b=4.3567 c=7.2316 alpha=72.47 beta=72.47 gamma=60.00
Last column: nearest neighbours and their distance in Å.
Fractional coordinates of all 4 atoms:
Au (0.4916, 0.4916, 0.5253)  3 Te 2.74, 3 Pb 3.02
Te (0.7713, 0.7713, 0.6861)  3 Au 2.74
Te (0.9972, 0.9972, 0.0085)  3 Pb 3.12, 3 Te 3.33
Pb (0.2400, 0.2400, 0.2800)  3 Au 3.02, 3 Te 3.12

Properties
The total magnetization comes out at 0.00 Bohr magnetons per cell.

***

# 2
## TePb2Au (SCAN)

Data for a crystal of TePb2Au relaxed with PBEsol.

Unit cell a=3.8286 b=3.8277 c=7.1054 alpha=90.00 beta=90.00 gamma=90.00
Last column: nearest neighbours and their distance in Å.
Fractional coordinates of all 4 atoms:
Au (0.5000, 0.5000, 0.5000)  8 Pb 3.16
Te (0.5000, 0.5000, 0.0000)  8 Pb 3.32, 2 Au 3.55
Pb (0.9994, 0.0000, 0.7303)  4 Au 3.16, 1 Pb 3.27, 4 Te 3.32
Pb (0.0006, 0.0000, 0.2697)  4 Au 3.16, 1 Pb 3.27, 4 Te 3.32

Properties
The total magnetization comes out at 0.00 Bohr magnetons per cell.

***

# 3
## Te2PbAu (SCAN)

Data for a crystal of Te2PbAu relaxed with PBEsol.

Unit cell a=3.8199 b=4.8907 c=5.5439 alpha=90.00 beta=90.00 gamma=90.00
Last column: nearest neighbours and their distance in Å.
Fractional coordinates of all 4 atoms:
Te (0.0000, 0.0000, 0.0000)  4 Te 3.10, 4 Au 3.37
Pb (0.0000, 0.5000, 0.5000)  4 Au 3.10, 4 Te 3.37
Te (0.5000, 0.5000, 0.0000)  4 Te 3.10, 4 Pb 3.37
Au (0.5000, 0.0000, 0.5000)  4 Pb 3.10, 4 Te 3.37

Properties
The total magnetization comes out at 0.00 Bohr magnetons per cell.

***

# 4
## TePbAu4 (SCAN)

Data for a crystal of TePbAu4 relaxed with PBEsol.

Unit cell a=5.5996 b=5.5996 c=5.5996 alpha=60.00 beta=60.00 gamma=60.00
Last column: nearest neighbours and their distance in Å.
Fractional coordinates of all 6 atoms:
Au (0.8745, 0.3752, 0.3752)  6 Au 2.80
Au (0.3752, 0.8745, 0.3752)  6 Au 2.80
Te (0.0000, 0.0000, 0.0000)  12 Au 3.28, 4 Pb 3.43
Au (0.3752, 0.3752, 0.3752)  6 Au 2.80
Pb (0.7500, 0.7500, 0.7500)  12 Au 3.28, 4 Te 3.43
Au (0.3752, 0.3752, 0.8745)  6 Au 2.80

Properties
The total magnetization comes out at 0.00 Bohr magnetons per cell.

***

Respective DOS(E_F) values: 0.624; 0.335; 0.554; 0.155 states/eV per atom.
Respective E values: -54.970; -64.520; -54.678; -64.952 eV/atom.
Respective formation energy (no corrections) values: -0.11; -0.03; 0.18; -0.01 eV per atom.